1.
DFT (GGA-PBE) results for an optimized crystal structure of LiCr3Au.

Volume in Å³/f.u.: 132
Density of states at the Fermi level in states/eV/f.u.: 3.4
Distance to the lowest polymorph of the same formula in kJ/mol of atoms: 0.0
Energy relative to the elements in eV per atom: 1.187
Final energy in eV/f.u.: -28.13

Lattice parameters (Å, degrees): 5.0942 5.0942 5.0942 90.00 90.00 90.00
Positions (direct):
Li (0.0000, 0.0000, 0.0000)
Cr (0.0000, 0.5000, 0.5000)
Cr (0.5000, 0.0000, 0.5000)
Cr (0.5000, 0.5000, 0.0000)
Au (0.5000, 0.5000, 0.5000)

***

2.
DFT (GGA-PBE) results for an optimized crystal structure of TlSn3H.

Volume in Å³/f.u.: 117
Density of states at the Fermi level in states/eV/f.u.: 2.0
Final energy in eV/f.u.: -16.52

Lattice parameters (Å, degrees): 4.8965 4.8965 4.8965 90.00 90.00 90.00
Positions (direct):
Tl (0.0000, 0.0000, 0.0000)
Sn (0.0000, 0.5000, 0.5000)
Sn (0.5000, 0.0000, 0.5000)
Sn (0.5000, 0.5000, 0.0000)
H (0.5000, 0.5000, 0.5000)

***

3.
DFT (GGA-PBE) results for an optimized crystal structure of Ga2Se2F.

Volume in Å³/f.u.: 91
Formation energy from raw total energies in eV/atom: -0.62
Density of states at the Fermi level in states/eV/f.u.: 1.2
Distance to the lowest polymorph of the same formula in kJ/mol of atoms: 0.0
Final energy in eV/f.u.: -17.98

Lattice parameters (Å, degrees): 7.1132 7.1132 3.5993 90.00 90.00 90.00
Positions (direct):
Ga (0.1758, 0.3242, 0.0000)
Ga (0.3242, 0.8242, 0.0000)
Ga (0.6758, 0.1758, 0.0000)
Ga (0.8242, 0.6758, 0.0000)
Se (0.1507, 0.6507, 0.5000)
Se (0.3493, 0.1507, 0.5000)
Se (0.6507, 0.8493, 0.5000)
Se (0.8493, 0.3493, 0.5000)
F (0.0000, 0.0000, 0.0000)
F (0.5000, 0.5000, 0.0000)

***

4.
DFT (GGA-PBE) results for an optimized crystal structure of MgTe2BrN.

Volume in Å³/f.u.: 132
Formation energy from raw total energies in eV/atom: 0.70
Density of states at the Fermi level in states/eV/f.u.: 4.1
Distance to the lowest polymorph of the same formula in kJ/mol of atoms: 0.0
Final energy in eV/f.u.: -14.38

Lattice parameters (Å, degrees): 5.8183 5.8183 3.9025 90.00 90.00 90.00
Positions (direct):
Mg (0.0000, 0.0000, 0.0000)
Te (0.0000, 0.5000, 0.0000)
Te (0.5000, 0.0000, 0.0000)
Br (0.5000, 0.5000, 0.5000)
N (0.0000, 0.0000, 0.5000)

***

5.
DFT (GGA-PBE) results for an optimized crystal structure of SnHg6Pb3.

Volume in Å³/f.u.: 291
Density of states at the Fermi level in states/eV/f.u.: 2.9
Energy relative to the elements in eV per atom: 0.057
Final energy in eV/f.u.: -16.37

Lattice parameters (Å, degrees): 5.9698 5.9698 9.4230 90.00 90.00 120.00
Positions (direct):
Sn (0.0000, 0.0000, 0.0000)
Hg (0.0000, 0.3868, 0.8020)
Hg (0.0000, 0.6132, 0.1980)
Hg (0.3868, 0.0000, 0.8020)
Hg (0.3868, 0.3868, 0.1980)
Hg (0.6132, 0.0000, 0.1980)
Hg (0.6132, 0.6132, 0.8020)
Pb (0.0000, 0.0000, 0.5000)
Pb (0.3333, 0.6667, 0.5000)
Pb (0.6667, 0.3333, 0.5000)

***

6.
DFT (GGA-PBE) results for an optimized crystal structure of AcTl4Cl7.

Volume in Å³/f.u.: 440
Formation energy from raw total energies in eV/atom: -1.44
Density of states at the Fermi level in states/eV/f.u.: 0.0
Final energy in eV/f.u.: -43.77

Lattice parameters (Å, degrees): 10.9635 10.9635 7.5514 104.27 104.27 30.11
Positions (direct):
Ac (0.0000, 0.0000, 0.0000)
Tl (0.2700, 0.2700, 0.7669)
Tl (0.4137, 0.4137, 0.3843)
Tl (0.5863, 0.5863, 0.6157)
Tl (0.7300, 0.7300, 0.2331)
Cl (0.0743, 0.0743, 0.3729)
Cl (0.1212, 0.1212, 0.8889)
Cl (0.2786, 0.2786, 0.3665)
Cl (0.5000, 0.5000, 0.0000)
Cl (0.7214, 0.7214, 0.6335)
Cl (0.8788, 0.8788, 0.1111)
Cl (0.9257, 0.9257, 0.6271)

***

7.
DFT (GGA-PBE) results for an optimized crystal structure of Si2AuC.

Volume in Å³/f.u.: 58
Formation energy from raw total energies in eV/atom: 0.11
Density of states at the Fermi level in states/eV/f.u.: 0.4
Final energy in eV/f.u.: -22.91

Lattice parameters (Å, degrees): 6.8995 6.8995 6.8995 26.67 26.67 26.67
Positions (direct):
Si (0.0000, 0.0000, 0.0000)
Si (0.4595, 0.4595, 0.4595)
Au (0.5836, 0.5836, 0.5836)
C (0.0927, 0.0927, 0.0927)

***

8.
DFT (GGA-PBE) results for an optimized crystal structure of LiRh2Se.

Volume in Å³/f.u.: 57
Formation energy from raw total energies in eV/atom: -0.17
Density of states at the Fermi level in states/eV/f.u.: 3.5
Final energy in eV/f.u.: -20.80

Lattice parameters (Å, degrees): 4.8639 4.8639 4.8639 135.08 135.08 65.41
Positions (direct):
Li (0.0000, 0.0000, 0.0000)
Rh (0.2500, 0.7500, 0.5000)
Rh (0.5000, 0.5000, 0.0000)
Se (0.7500, 0.2500, 0.5000)

***

9.
DFT (GGA-PBE) results for an optimized crystal structure of Sr2BeSb.

Volume in Å³/f.u.: 121
Formation energy from raw total energies in eV/atom: -0.20
Density of states at the Fermi level in states/eV/f.u.: 1.3
Distance to the lowest polymorph of the same formula in kJ/mol of atoms: 16.7
Final energy in eV/f.u.: -12.02

Lattice parameters (Å, degrees): 5.2922 5.2922 4.3236 90.00 90.00 90.00
Positions (direct):
Sr (0.0000, 0.5000, 0.0000)
Sr (0.5000, 0.0000, 0.0000)
Be (0.0000, 0.0000, 0.5000)
Sb (0.5000, 0.5000, 0.5000)

***

10.
DFT (GGA-PBE) results for an optimized crystal structure of Bi3CO6.

Volume in Å³/f.u.: 143
Formation energy from raw total energies in eV/atom: -1.04
Density of states at the Fermi level in states/eV/f.u.: 2.4
Final energy in eV/f.u.: -61.01

Lattice parameters (Å, degrees): 7.0702 7.0702 5.9071 90.00 90.00 104.92
Positions (direct):
Bi (0.1023, 0.8977, 0.5000)
Bi (0.1980, 0.4263, 0.4930)
Bi (0.4263, 0.1980, 0.9930)
Bi (0.5737, 0.8020, 0.4930)
Bi (0.8020, 0.5737, 0.9930)
Bi (0.8977, 0.1023, 0.0000)
C (0.3163, 0.6837, 0.9381)
C (0.6837, 0.3163, 0.4381)
O (0.1245, 0.6019, 0.8375)
O (0.1599, 0.1654, 0.7355)
O (0.1654, 0.1599, 0.2355)
O (0.3025, 0.6975, 0.1662)
O (0.3981, 0.8755, 0.8375)
O (0.4377, 0.5623, 0.8630)
O (0.5623, 0.4377, 0.3630)
O (0.6019, 0.1245, 0.3375)
O (0.6975, 0.3025, 0.6662)
O (0.8346, 0.8401, 0.7355)
O (0.8401, 0.8346, 0.2355)
O (0.8755, 0.3981, 0.3375)

***

11.
DFT (GGA-PBE) results for an optimized crystal structure of ErZnCdIn.

Volume in Å³/f.u.: 90
Density of states at the Fermi level in states/eV/f.u.: 0.5
Energy relative to the elements in eV per atom: -0.218
Final energy in eV/f.u.: -10.36

Lattice parameters (Å, degrees): 5.0214 5.0214 5.0214 60.00 60.00 60.00
Positions (direct):
Er (0.0000, 0.0000, 0.0000)
Zn (0.2500, 0.2500, 0.2500)
Cd (0.5000, 0.5000, 0.5000)
In (0.7500, 0.7500, 0.7500)

***

12.
DFT (GGA-PBE) results for an optimized crystal structure of TaMnPt2.

Volume in Å³/f.u.: 62
Density of states at the Fermi level in states/eV/f.u.: 2.7
Energy relative to the elements in eV per atom: -0.539
Final energy in eV/f.u.: -35.26

Lattice parameters (Å, degrees): 2.8436 3.9389 5.5531 90.00 90.00 90.00
Positions (direct):
Ta (0.0000, 0.0000, 0.0000)
Mn (0.0000, 0.0000, 0.5000)
Pt (0.5000, 0.5000, 0.2551)
Pt (0.5000, 0.5000, 0.7449)

***

13.
DFT (GGA-PBE) results for an optimized crystal structure of LuPuSi2.

Volume in Å³/f.u.: 82
Formation energy from raw total energies in eV/atom: -0.37
Density of states at the Fermi level in states/eV/f.u.: 8.3
Distance to the lowest polymorph of the same formula in kJ/mol of atoms: 3.7
Final energy in eV/f.u.: -31.16

Lattice parameters (Å, degrees): 4.8824 4.8824 4.8824 59.90 59.90 59.90
Positions (direct):
Lu (0.0000, 0.0000, 0.0000)
Pu (0.5000, 0.5000, 0.5000)
Si (0.2494, 0.2494, 0.2494)
Si (0.7506, 0.7506, 0.7506)